## SrSc3 (PBE)

Data for SrSc3 after structural relaxation.

For the electronic total energy, the calculation gives -4.9523 eV/atom.

The space group is P-6m2 (No. 187) and the conventional cell measures 3.4787, 3.4787 and 11.1222 Å, with angles of 90.00, 90.00 and 120.00 degrees. The inequivalent atoms are Sr at (0.0000, 0.0000, 0.0000), Sc at (0.0000, 0.0000, 0.5000) and Sc at (0.3333, 0.6667, 0.2785).


## Rb3Os2O9 (PBE)

Data for Rb3Os2O9 after structural relaxation.

The value obtained for the uncorrected formation energy is -1315 meV/atom.

The space group is R-3c (No. 167, hexagonal axes) and the conventional cell measures 10.8579, 10.8579 and 14.3448 Å, with angles of 90.00, 90.00 and 120.00 degrees. The inequivalent atoms are Rb at (0.0000, 0.3299, 0.2500), Os at (0.0000, 0.0000, 0.1477), O at (0.0000, 0.1307, 0.7500) and O at (0.0000, 0.1469, 0.0926).


## Ac4CdHg (PBE)

Data for Ac4CdHg after structural relaxation.

Its relative energy among the computed polymorphs is 0.0000 eV/atom.

The space group is P4/mmm (No. 123) and the conventional cell measures 4.049, 4.049 and 13.805 Å, with angles of 90.00, 90.00 and 90.00 degrees. The inequivalent atoms are Ac at (0.000, 0.000, 0.146), Ac at (0.500, 0.500, 0.352), Cd at (0.000, 0.000, 0.500) and Hg at (0.500, 0.500, 0.000).


## La2PmTh3Se6 (PBE)

Data for La2PmTh3Se6 after structural relaxation.

The value obtained for the uncorrected formation energy is -1730 meV/atom.

The space group is C2/m (No. 12) and the conventional cell measures 18.576, 4.242 and 8.465 Å, with angles of 90.00, 104.57 and 90.00 degrees. The inequivalent atoms are La at (0.166, 0.000, 0.333), Pm at (0.000, 0.500, 0.000), Th at (0.000, 0.500, 0.500), Th at (0.168, 0.000, 0.833), Se at (0.002, 0.000, 0.753), Se at (0.165, 0.500, 0.079) and Se at (0.166, 0.500, 0.585).


## Pa2GaCu (PBE)

Data for Pa2GaCu after structural relaxation.

Its relative energy among the computed polymorphs is 0.0162 eV/atom.

The space group is P4/mmm (No. 123) and the conventional cell measures 3.095, 3.095 and 8.473 Å, with angles of 90.00, 90.00 and 90.00 degrees. The inequivalent atoms are Pa at (0.000, 0.000, 0.241), Ga at (0.500, 0.500, 0.500) and Cu at (0.500, 0.500, 0.000).


## Mo2Pt (PBE)

Data for Mo2Pt after structural relaxation.

Its relative energy among the computed polymorphs is 0.4704 eV/atom.

The space group is Imma (No. 74) and the conventional cell measures 2.692, 4.207 and 18.148 Å, with angles of 90.00, 90.00 and 90.00 degrees. The inequivalent atoms are Mo at (0.000, 0.250, 0.038), Mo at (0.000, 0.250, 0.186) and Pt at (0.000, 0.250, 0.614).


## LiLa2I6 (PBE)

Data for LiLa2I6 after structural relaxation.

The value obtained for the uncorrected formation energy is -1353 meV/atom. Its relative energy among the computed polymorphs is 0.0345 eV/atom.

The space group is P4_2/mnm (No. 136) and the conventional cell measures 7.612, 7.612 and 13.321 Å, with angles of 90.00, 90.00 and 90.00 degrees. The inequivalent atoms are Li at (0.000, 0.000, 0.000), La at (0.000, 0.000, 0.349), I at (0.198, 0.198, 0.163) and I at (0.226, 0.226, 0.500).


## Pu2Be3Ge4Au (PBE)

Data for Pu2Be3Ge4Au after structural relaxation.

For the electronic total energy, the calculation gives -6.4134 eV/atom.

The space group is P-4m2 (No. 115) and the conventional cell measures 4.102, 4.102 and 9.967 Å, with angles of 90.00, 90.00 and 90.00 degrees. The inequivalent atoms are Pu at (0.000, 0.500, 0.236), Be at (0.000, 0.500, 0.877), Be at (0.500, 0.500, 0.500), Ge at (0.000, 0.000, 0.000), Ge at (0.000, 0.500, 0.652), Ge at (0.500, 0.500, 0.000) and Au at (0.000, 0.000, 0.500).